No. 1
# Al2CuAg, relaxed, DFT GGA-PBE
# - magnetic moment (Bohr magnetons per cell) = 0.0
# - E_form (eV/atom) = 0.01
# - relative energy among the computed polymorphs (eV per atom) = 0.092
data_Al2CuAg
_chemical_formula_sum 'Al2 Cu1 Ag1'
_symmetry_space_group_name_H-M 'P 1 2/m 1'
_symmetry_Int_Tables_number 10
_symmetry_space_group_name_Hall '-P 2y'
_cell_length_a 2.887
_cell_length_b 4.328
_cell_length_c 5.022
_cell_angle_alpha 90.00
_cell_angle_beta 92.96
_cell_angle_gamma 90.00
loop_
_atom_site_label
_atom_site_fract_x
_atom_site_fract_y
_atom_site_fract_z
_atom_site_occupancy
Al1 0.218 0.000 0.263 1
Cu1 0.000 0.500 0.500 1
Ag1 0.500 0.500 0.000 1

---

No. 2
# Al4Cu2Ag, relaxed, DFT GGA-PBE
# - magnetic moment (Bohr magnetons per cell) = 0.0
# - E_form (eV/atom) = 0.43
data_Al4Cu2Ag
_chemical_formula_sum 'Al8 Cu4 Ag2'
_symmetry_space_group_name_H-M 'I 4/m m m'
_symmetry_Int_Tables_number 139
_symmetry_space_group_name_Hall '-I 4 2'
_cell_length_a 4.820
_cell_length_b 4.820
_cell_length_c 12.176
_cell_angle_alpha 90.00
_cell_angle_beta 90.00
_cell_angle_gamma 90.00
loop_
_atom_site_label
_atom_site_fract_x
_atom_site_fract_y
_atom_site_fract_z
_atom_site_occupancy
Al1 0.000 0.000 0.207 1
Al2 0.000 0.500 0.000 1
Cu1 0.000 0.000 0.401 1
Ag1 0.000 0.000 0.000 1

---

No. 3
# Al2CuAg, relaxed, DFT GGA-PBE
# - magnetic moment (Bohr magnetons per cell) = 0.0
# - E_form (eV/atom) = -0.03
# - relative energy among the computed polymorphs (eV per atom) = 0.046
data_Al2CuAg
_chemical_formula_sum 'Al4 Cu2 Ag2'
_symmetry_space_group_name_H-M 'I -4 m 2'
_symmetry_Int_Tables_number 119
_symmetry_space_group_name_Hall 'I -4 -2'
_cell_length_a 3.907
_cell_length_b 3.907
_cell_length_c 8.055
_cell_angle_alpha 90.00
_cell_angle_beta 90.00
_cell_angle_gamma 90.00
loop_
_atom_site_label
_atom_site_fract_x
_atom_site_fract_y
_atom_site_fract_z
_atom_site_occupancy
Al1 0.000 0.000 0.000 1
Al2 0.000 0.500 0.250 1
Cu1 0.000 0.000 0.500 1
Ag1 0.000 0.500 0.750 1

---

No. 4
# Al2CuAg, relaxed, DFT GGA-PBE
# - magnetic moment (Bohr magnetons per cell) = 0.0
# - E_form (eV/atom) = -0.08
# - relative energy among the computed polymorphs (eV per atom) = 0.000
data_Al2CuAg
_chemical_formula_sum 'Al8 Cu4 Ag4'
_symmetry_space_group_name_H-M 'C m c m'
_symmetry_Int_Tables_number 63
_symmetry_space_group_name_Hall '-C 2c 2'
_cell_length_a 2.852
_cell_length_b 19.652
_cell_length_c 4.376
_cell_angle_alpha 90.00
_cell_angle_beta 90.00
_cell_angle_gamma 90.00
loop_
_atom_site_label
_atom_site_fract_x
_atom_site_fract_y
_atom_site_fract_z
_atom_site_occupancy
Al1 0.000 0.065 0.250 1
Al2 0.000 0.153 0.750 1
Cu1 0.000 0.456 0.250 1
Ag1 0.000 0.296 0.750 1

---

No. 5
# AlCuAg2, relaxed, DFT GGA-PBE
# - magnetic moment (Bohr magnetons per cell) = 0.0
# - E_form (eV/atom) = -0.03
data_AlCuAg2
_chemical_formula_sum 'Al1 Cu1 Ag2'
_symmetry_space_group_name_H-M 'P 1 m 1'
_symmetry_Int_Tables_number 6
_symmetry_space_group_name_Hall 'P -2y'
_cell_length_a 2.868
_cell_length_b 4.273
_cell_length_c 5.343
_cell_angle_alpha 90.00
_cell_angle_beta 104.70
_cell_angle_gamma 90.00
loop_
_atom_site_label
_atom_site_fract_x
_atom_site_fract_y
_atom_site_fract_z
_atom_site_occupancy
Al1 0.000 0.000 0.000 1
Cu1 0.114 0.500 0.255 1
Ag1 0.388 0.500 0.785 1
Ag2 0.721 0.000 0.466 1

---

No. 6
# Al2CuAg, relaxed, DFT GGA-PBE
# - magnetic moment (Bohr magnetons per cell) = 0.0
# - E_form (eV/atom) = -0.04
# - relative energy among the computed polymorphs (eV per atom) = 0.037
data_Al2CuAg
_chemical_formula_sum 'Al6 Cu3 Ag3'
_symmetry_space_group_name_H-M 'R -3 m'
_symmetry_Int_Tables_number 166
_symmetry_space_group_name_Hall '-R 3 2"'
_cell_length_a 2.9122
_cell_length_b 2.9122
_cell_length_c 25.2515
_cell_angle_alpha 90.00
_cell_angle_beta 90.00
_cell_angle_gamma 120.00
loop_
_atom_site_label
_atom_site_fract_x
_atom_site_fract_y
_atom_site_fract_z
_atom_site_occupancy
Al1 0.0000 0.0000 0.2432 1
Cu1 0.0000 0.0000 0.5000 1
Ag1 0.0000 0.0000 0.0000 1